Record 1
Entry from Alexandria: an optimized crystal structure of Ac3TbPr3 (GGA-PBE).

Properties
Crystal system   orthorhombic
Space group   Pnma, No. 62
DOS at the Fermi energy   1.341 states/eV per atom

Lattice parameters (Å, degrees): 10.8673 6.0828 16.8633 90.00 90.00 90.00
Closest atoms and distances in Å follow each position.
Fractional coordinates of all 28 atoms:
Ac  0.0617  0.2500  0.0905  4 Pr 3.77-4.03, 2 Tb 3.83-4.01, 3 Ac 3.86-4.02
Ac  0.1934  0.2500  0.3876  2 Tb 3.49-3.88, 7 Pr 3.67-3.72, 1 Ac 3.71
Ac  0.2207  0.2500  0.6070  5 Pr 3.60-3.88, 2 Tb 3.71, 3 Ac 3.71-3.86
Ac  0.2793  0.7500  0.1070  5 Pr 3.60-3.88, 2 Tb 3.71, 3 Ac 3.71-3.86
Ac  0.3066  0.7500  0.8876  2 Tb 3.49-3.88, 7 Pr 3.67-3.72, 1 Ac 3.71
Ac  0.4383  0.7500  0.5905  4 Pr 3.77-4.03, 2 Tb 3.83-4.01, 3 Ac 3.86-4.02
Ac  0.5617  0.2500  0.4095  4 Pr 3.77-4.03, 2 Tb 3.83-4.01, 3 Ac 3.86-4.02
Ac  0.6934  0.2500  0.1124  2 Tb 3.49-3.88, 7 Pr 3.67-3.72, 1 Ac 3.71
Ac  0.7207  0.2500  0.8930  5 Pr 3.60-3.88, 2 Tb 3.71, 3 Ac 3.71-3.86
Ac  0.7793  0.7500  0.3930  5 Pr 3.60-3.88, 2 Tb 3.71, 3 Ac 3.71-3.86
Ac  0.8066  0.7500  0.6124  2 Tb 3.49-3.88, 7 Pr 3.67-3.72, 1 Ac 3.71
Ac  0.9383  0.7500  0.9095  4 Pr 3.77-4.03, 2 Tb 3.83-4.01, 3 Ac 3.86-4.02
Tb  0.1252  0.7500  0.7166  5 Ac 3.49-3.88, 5 Pr 3.70-3.83
Tb  0.3748  0.2500  0.2166  5 Ac 3.49-3.88, 5 Pr 3.70-3.83
Tb  0.6252  0.7500  0.7834  5 Ac 3.49-3.88, 5 Pr 3.70-3.83
Tb  0.8748  0.2500  0.2834  5 Ac 3.49-3.88, 5 Pr 3.70-3.83
Pr  0.0868  0.7500  0.2804  2 Pr 3.24-3.38, 1 Ac 3.60
Pr  0.0967  0.7500  0.4981  4 Pr 3.67-3.88, 7 Ac 3.69-4.03, 1 Tb 3.70
Pr  0.1244  0.2500  0.8549  2 Pr 3.24-3.38
Pr  0.3756  0.7500  0.3549  2 Pr 3.24-3.38
Pr  0.4033  0.2500  0.9981  4 Pr 3.67-3.88, 7 Ac 3.69-4.03, 1 Tb 3.70
Pr  0.4132  0.2500  0.7804  2 Pr 3.24-3.38, 1 Ac 3.60
Pr  0.5868  0.7500  0.2196  2 Pr 3.24-3.38, 1 Ac 3.60
Pr  0.5967  0.7500  0.0019  4 Pr 3.67-3.88, 7 Ac 3.69-4.03, 1 Tb 3.70
Pr  0.6244  0.2500  0.6451  2 Pr 3.24-3.38
Pr  0.8756  0.7500  0.1451  2 Pr 3.24-3.38
Pr  0.9033  0.2500  0.5019  4 Pr 3.67-3.88, 7 Ac 3.69-4.03, 1 Tb 3.70
Pr  0.9132  0.2500  0.7196  2 Pr 3.24-3.38, 1 Ac 3.60

Record 2
Entry from Alexandria: an optimized crystal structure of Mg2TiZn6 (GGA-PBE).

Properties
Crystal system   hexagonal
Space group   P6/mmm, No. 191
DOS at the Fermi energy   0.496 states/eV per atom

Lattice parameters (Å, degrees): 7.6334 7.6334 2.9034 90.00 90.00 120.00
Closest atoms and distances in Å follow each position.
Fractional coordinates of all 9 atoms:
Mg  0.3333  0.6667  0.0000  2 Mg 2.90, 12 Zn 2.95
Mg  0.6667  0.3333  0.0000  2 Mg 2.90, 12 Zn 2.95
Ti  0.0000  0.0000  0.0000  12 Zn 2.90, 2 Ti 2.90
Zn  0.0000  0.3285  0.5000  3 Zn 2.51-2.62
Zn  0.0000  0.6715  0.5000  3 Zn 2.51-2.62
Zn  0.3285  0.0000  0.5000  3 Zn 2.51-2.62
Zn  0.3285  0.3285  0.5000  3 Zn 2.51-2.62
Zn  0.6715  0.0000  0.5000  3 Zn 2.51-2.62
Zn  0.6715  0.6715  0.5000  3 Zn 2.51-2.62

Record 3
Entry from Alexandria: an optimized crystal structure of Er5SnGe2 (GGA-PBE).

Properties
Crystal system   tetragonal
Space group   I4/mcm, No. 140
DOS at the Fermi energy   0.832 states/eV per atom

Lattice parameters (Å, degrees): 8.6647 8.6647 8.6647 126.29 126.29 79.41
Closest atoms and distances in Å follow each position.
Fractional coordinates of all 16 atoms:
Er  0.0000  0.0000  0.0000  4 Ge 2.99, 2 Sn 3.33
Er  0.0134  0.5134  0.8111  3 Ge 2.89-3.04
Er  0.2022  0.0134  0.5000  3 Ge 2.89-3.04
Er  0.2978  0.7978  0.8111  3 Ge 2.89-3.04
Er  0.4866  0.2978  0.5000  3 Ge 2.89-3.04
Er  0.5000  0.5000  0.0000  4 Ge 2.99, 2 Sn 3.33
Er  0.5134  0.7022  0.5000  3 Ge 2.89-3.04
Er  0.7022  0.2022  0.1889  3 Ge 2.89-3.04
Er  0.7978  0.9866  0.5000  3 Ge 2.89-3.04
Er  0.9866  0.4866  0.1889  3 Ge 2.89-3.04
Sn  0.2500  0.2500  0.0000  10 Er 3.29-3.33
Sn  0.7500  0.7500  0.0000  10 Er 3.29-3.33
Ge  0.1476  0.3524  0.5000  8 Er 2.89-3.04
Ge  0.3524  0.8524  0.2048  8 Er 2.89-3.04
Ge  0.6476  0.1476  0.7952  8 Er 2.89-3.04
Ge  0.8524  0.6476  0.5000  8 Er 2.89-3.04

What are the energy of formation from the pure elements values for these records? In order: 0.09, -0.12, -0.74 eV per atom.